Here is LiCrCSO7 after structural relaxation from Alexandria via LeMat-Bulk. Energies are from PBE+U.

```
data_LiCrCSO7
_chemical_formula_sum 'Li2 Cr2 C2 S2 O14'
_cell_length_a 5.230
_cell_length_b 6.369
_cell_length_c 9.560
_cell_angle_alpha 90.00
_cell_angle_beta 93.10
_cell_angle_gamma 90.00
_space_group_name_H-M_alt 'P 1 21 1'
_space_group_IT_number 4
loop_
_space_group_symop_operation_xyz
'x,y,z'
'-x,y+1/2,-z'
loop_
_atom_site_label
_atom_site_fract_x
_atom_site_fract_y
_atom_site_fract_z
Li1 0.245 0.000 0.122
Cr1 0.280 0.347 0.650
C1 0.229 0.309 0.900
S1 0.228 0.847 0.570
O1 0.037 0.342 0.805
O2 0.051 0.343 0.472
O3 0.200 0.256 0.023
O4 0.290 0.031 0.659
O5 0.295 0.662 0.660
O6 0.374 0.848 0.441
O7 0.453 0.334 0.843
```

Properties
As for the total magnetization: 2.93 μB/f.u. As for the volume: 317.99 Å³ per cell. Its density is 2.25 g/cm3. The calculation puts the total energy at -6.84 eV/atom.